# 1
Material: ScBeNiBi
Method: DFT, PBE
State: relaxed

abc: 4.579 4.579 4.579
angles: 60.00 60.00 60.00
Sites, in units of the cell vectors:
Sc 0.500 0.500 0.500
Ni 0.250 0.250 0.250
Be 0.750 0.750 0.750
Bi 0.000 0.000 0.000

The calculation puts the total energy at -19.5 eV/cell. The calculation puts the spin magnetization at 0.00 μB/f.u. As for the symmetry: F-43m.

# 2
Material: YLuAl
Method: DFT, PBE
State: relaxed

abc: 5.046 5.046 5.046
angles: 60.00 60.00 60.00
Sites, in units of the cell vectors:
Y 0.250 0.250 0.250
Al 0.500 0.500 0.500
Lu 0.000 0.000 0.000

The calculation puts the total energy at -13.2 eV/cell. The calculation puts the spin magnetization at 0.00 μB/f.u. As for the symmetry: F-43m.

# 3
Material: SrCuSb2Pt
Method: DFT, PBE
State: relaxed

abc: 4.628 4.628 10.994
angles: 90.00 90.00 90.00
Sites, in units of the cell vectors:
Cu 0.500 0.500 0.000
Cu 0.000 0.000 0.000
Sb 0.000 0.500 0.874
Sb 0.500 0.000 0.126
Sb 0.500 0.500 0.500
Sb 0.000 0.000 0.500
Pt 0.000 0.500 0.631
Pt 0.500 0.000 0.369
Sr 0.500 0.000 0.759
Sr 0.000 0.500 0.241

The calculation puts the total energy at -45.7 eV/cell. The calculation puts the spin magnetization at 0.00 μB/f.u. As for the symmetry: P4/nmm.

# 4
Material: HoMgTe2AuS
Method: DFT, PBE
State: relaxed

abc: 7.362 7.362 10.369
angles: 90.00 90.00 147.79
Sites, in units of the cell vectors:
S 0.098 0.902 0.250
S 0.902 0.098 0.750
Mg 0.720 0.280 0.250
Mg 0.280 0.720 0.750
Ho 0.000 0.000 0.000
Ho 0.000 0.000 0.500
Te 0.343 0.657 0.434
Te 0.657 0.343 0.566
Te 0.657 0.343 0.934
Te 0.343 0.657 0.066
Au 0.519 0.481 0.750
Au 0.481 0.519 0.250

The calculation puts the total energy at -49.5 eV/cell. The calculation puts the spin magnetization at 0.01 μB/f.u. As for the symmetry: Cmcm.

# 5
Material: LaGaRe
Method: DFT, PBE
State: relaxed

abc: 4.600 4.600 4.600
angles: 60.00 60.00 60.00
Sites, in units of the cell vectors:
Ga 0.250 0.250 0.250
Re 0.000 0.000 0.000
La 0.750 0.750 0.750

The calculation puts the total energy at -19.2 eV/cell. The calculation puts the spin magnetization at 0.04 μB/f.u. As for the symmetry: F-43m.

# 6
Material: YZnCuSi
Method: DFT, PBE
State: relaxed

abc: 4.588 4.588 4.588
angles: 60.00 60.00 60.00
Sites, in units of the cell vectors:
Zn 0.250 0.250 0.250
Y 0.500 0.500 0.500
Cu 0.750 0.750 0.750
Si 0.000 0.000 0.000

The calculation puts the total energy at -17.5 eV/cell. The calculation puts the spin magnetization at 0.00 μB/f.u. As for the symmetry: F-43m.

# 7
Material: Mo2S
Method: DFT, PBE
State: relaxed

abc: 5.222 5.222 5.222
angles: 60.00 60.00 60.00
Sites, in units of the cell vectors:
Mo 0.125 0.625 0.625
Mo 0.625 0.625 0.125
Mo 0.625 0.125 0.625
Mo 0.625 0.625 0.625
S 0.250 0.250 0.250
S 0.000 0.000 0.000

The calculation puts the total energy at -46.1 eV/cell. The calculation puts the spin magnetization at 0.00 μB/f.u. As for the symmetry: Fd-3m.

# 8
Material: InTe4MoAu3
Method: DFT, PBE
State: relaxed

abc: 6.630 6.630 6.630
angles: 90.00 90.00 90.00
Each line ends with the local moment (μB).
Sites, in units of the cell vectors:
Te 0.732 0.732 0.268  -0.02
Te 0.732 0.268 0.732  -0.01
Te 0.268 0.268 0.268  0.00
Te 0.268 0.732 0.732  0.00
Au 0.500 0.000 0.500  0.03
Au 0.500 0.500 0.000  0.06
Au 0.000 0.500 0.500  0.00
In 0.000 0.000 0.000  0.01
Mo 0.500 0.500 0.500  1.61

The calculation puts the total energy at -35.3 eV/cell. The calculation puts the spin magnetization at 2.00 μB/f.u. As for the symmetry: P-43m.

Please write out number 5 again, unchanged.
Material: LaGaRe
Method: DFT, PBE
State: relaxed

abc: 4.600 4.600 4.600
angles: 60.00 60.00 60.00
Sites, in units of the cell vectors:
Ga 0.250 0.250 0.250
Re 0.000 0.000 0.000
La 0.750 0.750 0.750

The calculation puts the total energy at -19.2 eV/cell. The calculation puts the spin magnetization at 0.04 μB/f.u. As for the symmetry: F-43m.

Copy entry 3 word for word.
Material: SrCuSb2Pt
Method: DFT, PBE
State: relaxed

abc: 4.628 4.628 10.994
angles: 90.00 90.00 90.00
Sites, in units of the cell vectors:
Cu 0.500 0.500 0.000
Cu 0.000 0.000 0.000
Sb 0.000 0.500 0.874
Sb 0.500 0.000 0.126
Sb 0.500 0.500 0.500
Sb 0.000 0.000 0.500
Pt 0.000 0.500 0.631
Pt 0.500 0.000 0.369
Sr 0.500 0.000 0.759
Sr 0.000 0.500 0.241

The calculation puts the total energy at -45.7 eV/cell. The calculation puts the spin magnetization at 0.00 μB/f.u. As for the symmetry: P4/nmm.